Material: CeAl12Co6
Method: DFT, GGA-PBE
State: relaxed

Computed properties:
The symmetry is R-3m, No. 166. Its formation energy from the elements is -392 meV/atom.

```
CeAl12Co6
1.0
-5.459 4.073 1.186
-2.270 -6.434 1.113
4.383 1.294 5.187
Co Al Ce
6 12 1
Cartesian
-1.831 -2.960 2.448 Co
-3.157 1.412 2.478 Co
-4.282 -1.323 3.345 Co
-0.188 -2.479 5.009 Co
0.937 0.256 4.142 Co
-1.515 1.892 5.040 Co
-2.603 -0.802 1.782 Al
-5.391 0.516 2.232 Al
0.841 2.387 5.283 Al
-0.468 -4.504 3.716 Al
-2.536 -2.349 4.607 Al
-3.396 0.484 4.627 Al
-0.743 -0.265 5.706 Al
-0.809 1.281 2.880 Al
-2.878 3.437 3.771 Al
0.051 -1.551 2.860 Al
-4.186 -3.454 2.204 Al
2.046 -1.584 5.256 Al
0.000 0.000 0.000 Ce
```